## Ta2InHg (PBE-GGA)

Data for crystalline Ta2InHg at its relaxed geometry.

```
Ta2InHg
1.0
2.943 0.000 0.000
0.000 2.943 0.000
0.000 0.000 8.949
Hg In Ta
1 1 2
Cartesian
1.472 1.472 2.237
1.472 1.472 6.712
0.000 0.000 0.013
0.000 0.000 4.461
```

Calculated values
electronic total energy = -6.37 eV/atom
magnetization = 0.00 μB per cell
DFT formation energy = 0.32 eV/atom
space-group type = P4/mmm (123)

***

## TaInHg2 (PBE-GGA)

Data for crystalline TaInHg2 at its relaxed geometry.

```
TaInHg2
1.0
5.455 -0.004 0.000
-2.178 5.001 0.000
0.000 0.000 3.080
Hg In Ta
2 1 1
Cartesian
0.000 0.000 0.000
1.638 2.499 0.000
2.728 -0.002 1.540
-1.089 2.501 1.540
```

Calculated values
electronic total energy = -3.46 eV/atom
magnetization = 0.00 μB per cell
DFT formation energy = 0.34 eV/atom
space-group type = Cmmm (65)

***

## TaIn2Hg (PBE-GGA)

Data for crystalline TaIn2Hg at its relaxed geometry.

```
TaIn2Hg
1.0
-5.449 0.622 1.565
-1.613 -2.137 5.036
4.193 3.304 -2.008
Hg In Ta
1 2 1
Cartesian
-2.394 1.584 1.429
0.000 0.000 0.000
-0.476 0.205 3.164
-3.531 -0.757 3.301
```

Calculated values
electronic total energy = -4.08 eV/atom
magnetization = 0.00 μB per cell
DFT formation energy = 0.33 eV/atom
space-group type = I-4m2 (119)

***

## TaIn2Hg (PBE-GGA)

Data for crystalline TaIn2Hg at its relaxed geometry.

```
TaIn2Hg
1.0
5.950 -0.005 -0.001
2.826 5.236 0.001
-3.730 -3.719 2.767
Hg In Ta
1 2 1
Cartesian
1.742 2.066 1.384
8.713 5.193 0.000
4.452 2.653 0.000
3.304 -0.554 1.383
```

Calculated values
electronic total energy = -4.03 eV/atom
magnetization = 0.00 μB per cell
DFT formation energy = 0.38 eV/atom
space-group type = Immm (71)

***

## TaIn2Hg (PBE-GGA)

Data for crystalline TaIn2Hg at its relaxed geometry.

```
TaIn2Hg
1.0
-3.106 2.774 0.543
-2.993 -3.319 -0.168
0.318 -0.511 4.432
Hg In Ta
1 2 1
Cartesian
-1.394 1.132 2.488
0.000 0.000 0.000
-1.337 -1.915 2.132
-3.050 -0.273 0.188
```

Calculated values
electronic total energy = -4.03 eV/atom
magnetization = 0.00 μB per cell
DFT formation energy = 0.37 eV/atom
space-group type = P4/mmm (123)

***

## Ta2InHg (PBE-GGA)

Data for crystalline Ta2InHg at its relaxed geometry.

```
Ta2InHg
1.0
-0.582 -3.397 -2.949
-0.913 -1.735 2.178
-6.299 0.178 1.037
Hg In Ta
1 1 2
Cartesian
-2.094 -2.087 -0.671
-5.699 -2.866 0.936
-7.194 -1.546 3.199
-3.623 -0.789 1.623
```

Calculated values
electronic total energy = -6.40 eV/atom
magnetization = 0.00 μB per cell
DFT formation energy = 0.28 eV/atom
space-group type = P2/m (10)

***

## Ta3InHg (PBE-GGA)

Data for crystalline Ta3InHg at its relaxed geometry.

```
Ta3InHg
1.0
-0.171 4.988 0.600
-4.909 -0.294 1.042
1.069 -0.550 4.881
In Hg Ta
1 1 3
Cartesian
-2.006 2.072 3.261
0.000 0.000 0.000
-2.455 -0.147 0.521
0.534 -0.275 2.441
-0.086 2.494 0.300
```

Calculated values
electronic total energy = -5.76 eV/atom
energy relative to the lowest polymorph listed for this composition = 0.0 meV per atom
magnetization = 0.00 μB per cell
DFT formation energy = 1.96 eV/atom
space-group type = Pm-3m (221)

***

## Ta3InHg (PBE-GGA)

Data for crystalline Ta3InHg at its relaxed geometry.

```
Ta3InHg
1.0
4.999 0.000 0.000
0.000 4.999 0.000
0.000 0.000 4.999
In Hg Ta
1 1 3
Cartesian
0.000 0.000 0.000
2.499 2.499 2.499
0.000 2.499 0.000
0.000 0.000 2.499
2.499 0.000 0.000
```

Calculated values
electronic total energy = -5.67 eV/atom
energy relative to the lowest polymorph listed for this composition = 88.7 meV per atom
magnetization = 0.00 μB per cell
DFT formation energy = 2.05 eV/atom
space-group type = Pm-3m (221)

***

## Ta2InHg (PBE-GGA)

Data for crystalline Ta2InHg at its relaxed geometry.

```
Ta2InHg
1.0
-5.352 -8.393 -1.054
-3.453 -8.757 -3.405
-2.611 -9.644 -0.618
Hg In Ta
1 1 2
Cartesian
-2.854 -6.698 -1.269
-8.562 -20.095 -3.808
-11.410 -26.779 -5.075
-5.714 -13.411 -2.541
```

Calculated values
electronic total energy = -6.35 eV/atom
magnetization = 0.00 μB per cell
DFT formation energy = 0.34 eV/atom
space-group type = R-3m (166)

***

## TaIn2HgTe (PBE-GGA)

Data for crystalline TaIn2HgTe at its relaxed geometry.

```
TaIn2HgTe
1.0
-0.855 2.246 -5.234
-0.326 -5.076 -2.125
-5.686 -0.020 0.919
Te In Hg Ta
1 2 1 1
Cartesian
0.000 0.000 0.000
-2.843 -0.010 0.460
-0.427 1.123 -2.617
-0.163 -2.538 -1.063
-3.433 -1.425 -3.220
```

Calculated values
electronic total energy = -2.66 eV/atom
magnetization = 3.46 μB per cell
space-group type = P4/mmm (123)
uncorrected formation energy = 7.46 eV/f.u.

***

## Tb4InHg2 (PBE-GGA)

Data for crystalline Tb4InHg2 at its relaxed geometry.

```
Tb4InHg2
1.0
5.181 0.000 0.000
2.591 4.487 0.000
2.591 1.496 9.186
Tb In Hg
4 1 2
Cartesian
5.181 2.991 8.067
2.591 1.496 3.290
7.772 4.487 5.896
5.181 2.991 1.119
0.000 0.000 0.000
2.591 1.496 6.298
7.772 4.487 2.888
```

Calculated values
electronic total energy = -3.30 eV/atom
energy relative to the lowest polymorph listed for this composition = 127.4 meV per atom
magnetization = 0.00 μB per cell
DFT formation energy = -0.18 eV/atom
space-group type = R-3m (166)

***

## TbInHg5 (PBE-GGA)

Data for crystalline TbInHg5 at its relaxed geometry.

```
TbInHg5
1.0
-1.030 -0.792 -4.876
4.365 -2.478 -0.520
-3.288 -6.149 1.693
Tb In Hg
1 1 5
Cartesian
0.000 0.000 0.000
-1.644 -3.074 0.847
-2.912 -4.878 -1.204
-0.214 -5.721 0.974
1.667 -1.635 -2.698
1.291 -2.905 0.199
-1.407 -2.062 -1.979
```

Calculated values
electronic total energy = -1.47 eV/atom
magnetization = 0.00 μB per cell
DFT formation energy = -0.20 eV/atom
space-group type = P4/mmm (123)

***

The highest magnetization belongs to which entry?
TaIn2HgTe

***

Number 1 is which compound?
Ta2InHg

***

Which value of magnetization does entry 9 give?
0.00 μB per cell

***

electronic total energy of number 3 (TaIn2Hg)?
-4.08 eV/atom